# 1
! TaMnNb3, optimized geometry, DFT PBE-GGA; values from VASP
! energy above the lowest structure with this stoichiometry: 0.000 eV/f.u.
! formation energy from the elements: 381 kJ/mol of formula units
! total moment: 0.00 μB/cell
&SYSTEM
  ibrav = 0, nat = 5, ntyp = 3
/
ATOMIC_SPECIES
Ta 180.95 Ta.upf
Nb 92.91 Nb.upf
Mn 54.94 Mn.upf
CELL_PARAMETERS angstrom
4.5806 0.0000 0.0000
0.0000 4.5806 0.0000
0.0000 0.0000 4.5806
ATOMIC_POSITIONS angstrom
Ta 2.2903 2.2903 2.2903
Nb 0.0000 2.2903 0.0000
Nb 2.2903 0.0000 0.0000
Nb 0.0000 0.0000 2.2903
Mn 0.0000 0.0000 0.0000

---

# 2
! TaMn2Nb2, optimized geometry, DFT PBE-GGA; values from VASP
! energy above the lowest structure with this stoichiometry: 0.000 eV/f.u.
! formation energy from the elements: 48 kJ/mol of formula units
! total moment: 0.00 μB/cell
&SYSTEM
  ibrav = 0, nat = 5, ntyp = 3
/
ATOMIC_SPECIES
Mn 54.94 Mn.upf
Ta 180.95 Ta.upf
Nb 92.91 Nb.upf
CELL_PARAMETERS angstrom
2.9766 0.0000 0.0000
0.0000 2.9394 0.5569
0.0000 -0.1828 9.0002
ATOMIC_POSITIONS angstrom
Mn 1.4883 1.5740 7.7634
Mn 1.4883 1.1826 1.7938
Ta 0.0000 0.0000 0.0000
Nb 0.0000 0.4003 5.9228
Nb 0.0000 2.3563 3.6343

---

# 3
! TaMnNb, optimized geometry, DFT PBE-GGA; values from VASP
! energy above the lowest structure with this stoichiometry: 1.334 eV/f.u.
! formation energy from the elements: 99 kJ/mol of formula units
! total moment: 0.00 μB/cell
&SYSTEM
  ibrav = 0, nat = 6, ntyp = 3
/
ATOMIC_SPECIES
Ta 180.95 Ta.upf
Mn 54.94 Mn.upf
Nb 92.91 Nb.upf
CELL_PARAMETERS angstrom
4.2151 -0.0095 -0.0062
0.0011 4.2148 -0.0068
2.0935 2.0878 5.9648
ATOMIC_POSITIONS angstrom
Ta 4.0388 1.6693 0.6393
Ta 1.9318 3.7815 0.6390
Mn 4.0277 3.7650 5.1136
Nb 4.0325 1.6615 3.6248
Nb 1.9237 3.7754 3.6246
Mn 1.9286 1.6714 2.1358

---

# 4
! TaMn8Nb3, optimized geometry, DFT PBE-GGA; values from VASP
! formation energy from the elements: -193 kJ/mol of formula units
! total moment: 2.89 μB/cell
&SYSTEM
  ibrav = 0, nat = 12, ntyp = 3
/
ATOMIC_SPECIES
Nb 92.91 Nb.upf
Mn 54.94 Mn.upf
Ta 180.95 Ta.upf
CELL_PARAMETERS angstrom
-0.7567 -4.2325 2.1913
2.6028 3.4212 2.1930
-6.5774 2.8863 3.3036
ATOMIC_POSITIONS angstrom
Nb -2.5188 -0.4166 3.6394
Mn -0.9301 1.1431 1.8867
Mn -4.0189 1.7324 4.6687
Nb -6.1538 2.7004 3.0909
Nb -0.0434 -1.5029 2.3961
Mn 1.4595 0.8802 2.2042
Mn -5.2941 0.0561 3.5942
Mn 0.0238 0.7239 4.1522
Mn -4.3896 -0.3414 5.7423
Mn -1.7947 2.3083 3.8387
Mn 0.4148 2.9109 3.0199
Ta -3.7005 1.6238 1.8586

---

# 5
! TaMnNb, optimized geometry, DFT PBE-GGA; values from VASP
! energy above the lowest structure with this stoichiometry: 1.243 eV/f.u.
! formation energy from the elements: 90 kJ/mol of formula units
! total moment: 0.00 μB/cell
&SYSTEM
  ibrav = 0, nat = 12, ntyp = 3
/
ATOMIC_SPECIES
Nb 92.91 Nb.upf
Ta 180.95 Ta.upf
Mn 54.94 Mn.upf
CELL_PARAMETERS angstrom
-3.8673 1.1701 1.2799
-1.2243 -5.6515 1.4675
2.9837 1.3696 7.7634
ATOMIC_POSITIONS angstrom
Nb -0.4613 -1.9917 3.9357
Ta -1.0502 1.6982 5.8003
Mn -0.8962 -0.9269 1.6482
Nb -1.6465 -1.1201 6.5752
Mn -1.2117 -2.1850 8.8626
Nb -3.7368 -4.5673 3.4108
Nb 1.6289 1.4555 7.1001
Ta -3.1404 -1.7487 2.6358
Ta 1.0326 -1.3631 7.8750
Mn 0.5858 -0.2878 5.5418
Mn -2.6936 -2.8241 4.9690
Ta -1.0576 -4.8100 4.7106

---

# 6
! Ta3MnNb, optimized geometry, DFT PBE-GGA; values from VASP
! energy above the lowest structure with this stoichiometry: 0.000 eV/f.u.
! formation energy from the elements: 387 kJ/mol of formula units
! total moment: 0.00 μB/cell
&SYSTEM
  ibrav = 0, nat = 5, ntyp = 3
/
ATOMIC_SPECIES
Ta 180.95 Ta.upf
Nb 92.91 Nb.upf
Mn 54.94 Mn.upf
CELL_PARAMETERS angstrom
4.5814 0.0000 0.0000
0.0000 4.5814 0.0000
0.0000 0.0000 4.5814
ATOMIC_POSITIONS angstrom
Ta 0.0000 2.2907 0.0000
Ta 0.0000 0.0000 2.2907
Ta 2.2907 0.0000 0.0000
Nb 2.2907 2.2907 2.2907
Mn 0.0000 0.0000 0.0000